The following is a GGA-PBE calculation of crystalline CeCd8Au4 at its relaxed geometry, from the Alexandria database.

Output
DFT formation energy: -0.208 eV per atom

a b c (Å): 5.6424 7.5910 7.5910
angles (deg): 82.06 68.18 68.18
With the nearest neighbours (Å) after each atom.
Sites, in units of the cell vectors:
Ce  0.0000  0.0000  0.0000  12 Cd 3.47-3.53, 8 Au 3.80
Cd  0.0000  0.3479  0.6521  4 Au 3.02, 5 Cd 3.03-3.24
Cd  0.0000  0.6521  0.3479  4 Au 3.02, 5 Cd 3.03-3.24
Cd  0.3479  0.6521  0.6521  4 Au 3.02, 5 Cd 3.03-3.24
Cd  0.6521  0.3479  0.3479  4 Au 3.02, 5 Cd 3.03-3.24
Cd  0.5000  0.7875  0.2125  4 Au 2.89, 4 Cd 2.99-3.13
Cd  0.5000  0.2125  0.7875  4 Au 2.89, 4 Cd 2.99-3.13
Cd  0.2875  0.2125  0.2125  4 Au 2.89, 4 Cd 2.99-3.13
Cd  0.7125  0.7875  0.7875  4 Au 2.89, 4 Cd 2.99-3.13
Au  0.0000  0.0000  0.5000  2 Au 2.82, 8 Cd 2.89-3.02
Au  0.5000  0.0000  0.5000  2 Au 2.82, 8 Cd 2.89-3.02
Au  0.0000  0.5000  0.0000  2 Au 2.82, 8 Cd 2.89-3.02
Au  0.5000  0.5000  0.0000  2 Au 2.82, 8 Cd 2.89-3.02